Entry 1:
# GGA-PBE LiAc2SiAu6, optimized geometry
# **ΔE_f (raw)**: -0.54 eV/atom
# **E_tot**: -4.06 eV/atom
data_LiAc2SiAu6
_chemical_formula_sum 'Li1 Ac2 Si1 Au6'
_cell_length_a 6.760
_cell_length_b 6.762
_cell_length_c 6.947
_cell_angle_alpha 118.94
_cell_angle_beta 90.15
_cell_angle_gamma 119.79
_space_group_name_H-M_alt 'P -1'
_space_group_IT_number 2
_space_group_name_Hall '-P 1'
loop_
_atom_site_label
_atom_site_type_symbol
_atom_site_fract_x
_atom_site_fract_y
_atom_site_fract_z
Li1 Li 0.000 0.000 0.000
Ac1 Ac 0.284 0.568 0.852
Si1 Si 0.500 0.000 0.500
Au1 Au 0.177 0.903 0.678
Au2 Au 0.228 0.053 0.322
Au3 Au 0.273 0.498 0.314

---

Entry 2:
# GGA-PBE CaMnNi2, optimized geometry
# **Offset from the most stable computed form**: 0.182 eV/atom
# **Energy of formation from the pure elements**: 0.16 eV per atom
# **E_tot**: -5.52 eV/atom
data_CaMnNi2
_chemical_formula_sum 'Ca1 Mn1 Ni2'
_cell_length_a 4.362
_cell_length_b 4.362
_cell_length_c 3.247
_cell_angle_alpha 90.00
_cell_angle_beta 90.00
_cell_angle_gamma 90.00
_space_group_name_H-M_alt 'P 4/m m m'
_space_group_IT_number 123
_space_group_name_Hall '-P 4 2'
loop_
_atom_site_label
_atom_site_type_symbol
_atom_site_fract_x
_atom_site_fract_y
_atom_site_fract_z
Ca1 Ca 0.000 0.000 0.000
Mn1 Mn 0.500 0.500 0.000
Ni1 Ni 0.000 0.500 0.500

---

Entry 3:
# GGA-PBE Zn6CoPt, optimized geometry
# **Energy of formation from the pure elements**: -0.15 eV per atom
# **E_tot**: -2.75 eV/atom
data_Zn6CoPt
_chemical_formula_sum 'Zn24 Co4 Pt4'
_cell_length_a 5.581
_cell_length_b 7.502
_cell_length_c 10.693
_cell_angle_alpha 90.00
_cell_angle_beta 90.00
_cell_angle_gamma 90.00
_space_group_name_H-M_alt 'F m m m'
_space_group_IT_number 69
_space_group_name_Hall '-F 2 2'
loop_
_atom_site_label
_atom_site_type_symbol
_atom_site_fract_x
_atom_site_fract_y
_atom_site_fract_z
Zn1 Zn 0.000 0.000 0.243
Zn2 Zn 0.250 0.250 0.120
Co1 Co 0.000 0.000 0.000
Pt1 Pt 0.000 0.000 0.500

---

Entry 4:
# GGA-PBE Ac3PuBr2O6, optimized geometry
# **ΔE_f (raw)**: -2.61 eV/atom
# **E_tot**: -7.59 eV/atom
data_Ac3PuBr2O6
_chemical_formula_sum 'Ac6 Pu2 Br4 O12'
_cell_length_a 13.030
_cell_length_b 7.205
_cell_length_c 5.927
_cell_angle_alpha 90.00
_cell_angle_beta 100.62
_cell_angle_gamma 90.00
_space_group_name_H-M_alt 'C 1 2/m 1'
_space_group_IT_number 12
_space_group_name_Hall '-C 2y'
loop_
_atom_site_label
_atom_site_type_symbol
_atom_site_fract_x
_atom_site_fract_y
_atom_site_fract_z
Ac1 Ac 0.000 0.000 0.000
Ac2 Ac 0.250 0.250 0.500
Pu1 Pu 0.000 0.500 0.500
Br1 Br 0.220 0.000 0.900
O1 O 0.064 0.259 0.307
O2 O 0.156 0.500 0.647

---

Entry 5:
# GGA-PBE SrTeMo3, optimized geometry
# **Offset from the most stable computed form**: 1.453 eV/atom
# **ΔE_f (raw)**: 2.91 eV/atom
# **E_tot**: -4.56 eV/atom
data_SrTeMo3
_chemical_formula_sum 'Sr1 Te1 Mo3'
_cell_length_a 4.898
_cell_length_b 4.898
_cell_length_c 4.898
_cell_angle_alpha 90.00
_cell_angle_beta 90.00
_cell_angle_gamma 90.00
_space_group_name_H-M_alt 'P m -3 m'
_space_group_IT_number 221
_space_group_name_Hall '-P 4 2 3'
loop_
_atom_site_label
_atom_site_type_symbol
_atom_site_fract_x
_atom_site_fract_y
_atom_site_fract_z
Sr1 Sr 0.000 0.000 0.000
Te1 Te 0.500 0.500 0.500
Mo1 Mo 0.000 0.000 0.500

---

Entry 6:
# GGA-PBE YNi2Pb2, optimized geometry
# **Offset from the most stable computed form**: 0.007 eV/atom
# **Energy of formation from the pure elements**: -0.06 eV per atom
# **E_tot**: -5.15 eV/atom
data_YNi2Pb2
_chemical_formula_sum 'Y2 Ni4 Pb4'
_cell_length_a 7.049
_cell_length_b 7.049
_cell_length_c 4.195
_cell_angle_alpha 90.00
_cell_angle_beta 90.00
_cell_angle_gamma 90.00
_space_group_name_H-M_alt 'P 4/m b m'
_space_group_IT_number 127
_space_group_name_Hall '-P 4 2ab'
loop_
_atom_site_label
_atom_site_type_symbol
_atom_site_fract_x
_atom_site_fract_y
_atom_site_fract_z
Y1 Y 0.000 0.000 0.000
Ni1 Ni 0.120 0.380 0.000
Pb1 Pb 0.176 0.676 0.500

---

Entry 7:
# GGA-PBE Ag2HgS, optimized geometry
# **Offset from the most stable computed form**: 0.140 eV/atom
# **ΔE_f (raw)**: 0.16 eV/atom
# **E_tot**: -2.37 eV/atom
data_Ag2HgS
_chemical_formula_sum 'Ag8 Hg4 S4'
_cell_length_a 6.796
_cell_length_b 6.796
_cell_length_c 6.796
_cell_angle_alpha 90.00
_cell_angle_beta 90.00
_cell_angle_gamma 90.00
_space_group_name_H-M_alt 'F m -3 m'
_space_group_IT_number 225
_space_group_name_Hall '-F 4 2 3'
loop_
_atom_site_label
_atom_site_type_symbol
_atom_site_fract_x
_atom_site_fract_y
_atom_site_fract_z
Ag1 Ag 0.250 0.250 0.250
Hg1 Hg 0.000 0.000 0.000
S1 S 0.000 0.000 0.500

---

Entry 8:
# GGA-PBE PPt2, optimized geometry
# **Energy of formation from the pure elements**: -0.33 eV per atom
# **E_tot**: -6.16 eV/atom
data_PPt2
_chemical_formula_sum 'P4 Pt8'
_cell_length_a 3.718
_cell_length_b 9.619
_cell_length_c 5.559
_cell_angle_alpha 90.00
_cell_angle_beta 90.00
_cell_angle_gamma 90.00
_space_group_name_H-M_alt 'C m c 21'
_space_group_IT_number 36
_space_group_name_Hall 'C 2c -2'
loop_
_atom_site_label
_atom_site_type_symbol
_atom_site_fract_x
_atom_site_fract_y
_atom_site_fract_z
P1 P 0.000 0.151 0.000
Pt1 Pt 0.000 0.196 0.406
Pt2 Pt 0.000 0.488 0.425

---

Entry 9:
# GGA-PBE ZnPtSeBr2, optimized geometry
# **Offset from the most stable computed form**: 0.419 eV/atom
# **ΔE_f (raw)**: 0.65 eV/atom
# **E_tot**: -2.18 eV/atom
data_ZnPtSeBr2
_chemical_formula_sum 'Zn1 Pt1 Se1 Br2'
_cell_length_a 4.920
_cell_length_b 4.920
_cell_length_c 5.193
_cell_angle_alpha 90.00
_cell_angle_beta 90.00
_cell_angle_gamma 90.00
_space_group_name_H-M_alt 'P 4/m m m'
_space_group_IT_number 123
_space_group_name_Hall '-P 4 2'
loop_
_atom_site_label
_atom_site_type_symbol
_atom_site_fract_x
_atom_site_fract_y
_atom_site_fract_z
Zn1 Zn 0.000 0.000 0.000
Pt1 Pt 0.500 0.500 0.500
Se1 Se 0.000 0.000 0.500
Br1 Br 0.000 0.500 0.000

---

Entry 10:
# GGA-PBE KU4Pd3S12, optimized geometry
# **ΔE_f (raw)**: -0.94 eV/atom
# **E_tot**: -6.51 eV/atom
data_KU4Pd3S12
_chemical_formula_sum 'K2 U8 Pd6 S24'
_cell_length_a 9.750
_cell_length_b 9.750
_cell_length_c 9.750
_cell_angle_alpha 90.00
_cell_angle_beta 90.00
_cell_angle_gamma 90.00
_space_group_name_H-M_alt 'I m -3'
_space_group_IT_number 204
_space_group_name_Hall '-I 2 2 3'
loop_
_atom_site_label
_atom_site_type_symbol
_atom_site_fract_x
_atom_site_fract_y
_atom_site_fract_z
K1 K 0.000 0.000 0.000
U1 U 0.250 0.250 0.250
Pd1 Pd 0.000 0.000 0.500
S1 S 0.000 0.164 0.316

---

Entry 11:
# GGA-PBE SrMnH2N, optimized geometry
# **E_tot**: -5.62 eV/atom
data_SrMnH2N
_chemical_formula_sum 'Sr1 Mn1 H2 N1'
_cell_length_a 3.785
_cell_length_b 3.785
_cell_length_c 3.664
_cell_angle_alpha 90.00
_cell_angle_beta 90.00
_cell_angle_gamma 90.00
_space_group_name_H-M_alt 'P 4/m m m'
_space_group_IT_number 123
_space_group_name_Hall '-P 4 2'
loop_
_atom_site_label
_atom_site_type_symbol
_atom_site_fract_x
_atom_site_fract_y
_atom_site_fract_z
Sr1 Sr 0.000 0.000 0.000
Mn1 Mn 0.500 0.500 0.500
H1 H 0.000 0.500 0.500
N1 N 0.500 0.500 0.000

---

Entry 12:
# GGA-PBE ZnCdGa2Pd, optimized geometry
# **Energy of formation from the pure elements**: 0.02 eV per atom
# **E_tot**: -2.66 eV/atom
data_ZnCdGa2Pd
_chemical_formula_sum 'Zn1 Cd1 Ga2 Pd1'
_cell_length_a 4.795
_cell_length_b 4.795
_cell_length_c 5.294
_cell_angle_alpha 90.00
_cell_angle_beta 90.00
_cell_angle_gamma 90.00
_space_group_name_H-M_alt 'P 4/m m m'
_space_group_IT_number 123
_space_group_name_Hall '-P 4 2'
loop_
_atom_site_label
_atom_site_type_symbol
_atom_site_fract_x
_atom_site_fract_y
_atom_site_fract_z
Zn1 Zn 0.000 0.000 0.000
Cd1 Cd 0.500 0.500 0.000
Ga1 Ga 0.000 0.500 0.500
Pd1 Pd 0.500 0.500 0.500

---

Number 1: size of the total moment 0.0000 μB/atom. Number 2: size of the total moment 1.1153 μB/atom. Number 3: size of the total moment 0.0000 μB/atom. Number 4: size of the total moment 0.2500 μB/atom. Number 5: size of the total moment 0.0002 μB/atom. Number 6: size of the total moment 0.0000 μB/atom. Number 7: size of the total moment 0.0000 μB/atom. Number 8: size of the total moment 0.0000 μB/atom. Number 9: size of the total moment 0.1995 μB/atom. Number 10: size of the total moment 0.3475 μB/atom. Number 11: size of the total moment 0.2279 μB/atom. Number 12: size of the total moment 0.0000 μB/atom.